Computed, not measured: a relaxed NiH2Rh2 crystal at the GGA-PBE level of DFT.

For the electronic total energy, the calculation gives -53.23 eV for the cell shown.

a b c (Å): 5.1667 5.1667 3.6301
angles (deg): 90.00 90.00 90.00
Closest atoms and distances in Å follow each position.
Space group P4/mbm (No. 127)
Symmetry-distinct sites (fractional):
Ni 0.0000 0.0000 0.0000 [2 per cell]  4 H 1.88
H 0.1906 0.3094 0.0000 [4 per cell]  2 Rh 1.82, 2 Ni 1.88
Rh 0.1871 0.3129 0.5000 [4 per cell]  2 H 1.82